RuBr3: relaxed, PBE.

Lattice parameters (Å, degrees): 3.7601 7.0564 7.0551 42.33 90.00 90.00
With the nearest neighbours (Å) after each atom.
Sites, in units of the cell vectors:
Br: 0.0000 0.1221 0.1219  2 Ru 2.52
Br: 0.5000 0.7500 0.7500  2 Ru 2.55
Br: 0.0000 0.3779 0.3781  2 Ru 2.52
Ru: 0.5000 0.2500 0.2500  6 Br 2.52-2.55

The uncorrected formation energy is -0.14 eV per atom. The value obtained for the density of states at the Fermi level is 2.02 states/eV per cell. The calculated total energy comes out at -3.710 eV per atom. The calculated density comes out at 4489 kg/m³.


Ru2Br: relaxed, PBE.

Lattice parameters (Å, degrees): 5.3476 5.3476 5.3476 60.00 60.00 60.00
With the nearest neighbours (Å) after each atom.
Sites, in units of the cell vectors:
Ru: 0.6250 0.1250 0.1250  6 Ru 2.67
Ru: 0.1250 0.1250 0.1250  6 Ru 2.67
Ru: 0.1250 0.6250 0.1250  6 Ru 2.67
Ru: 0.1250 0.1250 0.6250  6 Ru 2.67
Br: 0.7500 0.7500 0.7500  12 Ru 3.14, 4 Br 3.27
Br: 0.5000 0.5000 0.5000  12 Ru 3.14, 4 Br 3.27

The value obtained for the relative energy among the computed polymorphs is 0.951 eV per atom. The uncorrected formation energy is 1.30 eV per atom. The value obtained for the density of states at the Fermi level is 9.82 states/eV per cell. The calculated total energy comes out at -5.438 eV per atom. The calculated density comes out at 8662 kg/m³.


RuBr4: relaxed, PBE.

Lattice parameters (Å, degrees): 5.5637 5.5637 5.5637 109.47 109.47 109.47
With the nearest neighbours (Å) after each atom.
Sites, in units of the cell vectors:
Br: 0.0000 0.5000 0.0000  2 Ru 2.78
Br: 0.5000 0.5000 0.5000  2 Ru 2.78
Br: 0.5000 0.0000 0.0000  2 Ru 2.78
Br: 0.0000 0.0000 0.5000  2 Ru 2.78
Ru: 0.0000 0.0000 0.0000  8 Br 2.78

The value obtained for the relative energy among the computed polymorphs is 0.688 eV per atom. The uncorrected formation energy is 0.48 eV per atom. The value obtained for the density of states at the Fermi level is 8.44 states/eV per cell. The calculated total energy comes out at -2.716 eV per atom. The calculated density comes out at 5269 kg/m³.


RuBr4: relaxed, PBE.

Lattice parameters (Å, degrees): 7.5710 7.3998 7.7780 71.12 60.88 59.23
With the nearest neighbours (Å) after each atom.
Sites, in units of the cell vectors:
Ru: 0.7500 0.0000 0.0000  6 Br 2.43-2.54
Ru: 0.2500 0.0000 0.0000  6 Br 2.43-2.54
Br: 0.1739 0.8011 0.8510  2 Ru 2.54
Br: 0.2662 0.2575 0.7099  1 Ru 2.43
Br: 0.3261 0.1989 0.1490  2 Ru 2.54
Br: 0.7663 0.2575 0.7099  1 Ru 2.43
Br: 0.7338 0.7425 0.2901  1 Ru 2.43
Br: 0.8261 0.1989 0.1490  2 Ru 2.54
Br: 0.6739 0.8011 0.8510  2 Ru 2.54
Br: 0.2337 0.7425 0.2901  1 Ru 2.43

The value obtained for the relative energy among the computed polymorphs is 0.000 eV per atom. The uncorrected formation energy is -0.21 eV per atom. The value obtained for the density of states at the Fermi level is 1.68 states/eV per cell. The calculated total energy comes out at -3.404 eV per atom. The calculated density comes out at 4293 kg/m³.


RuBr: relaxed, PBE.

Lattice parameters (Å, degrees): 8.3713 8.3713 8.3713 25.67 25.67 25.67
With the nearest neighbours (Å) after each atom.
Sites, in units of the cell vectors:
Ru: 0.6884 0.6884 0.6884  3 Ru 2.39
Ru: 0.3116 0.3116 0.3116  3 Ru 2.39
Br: 0.0908 0.0908 0.0908  3 Ru 2.72
Br: 0.9092 0.9092 0.9092  3 Ru 2.72

The value obtained for the relative energy among the computed polymorphs is 0.002 eV per atom. The uncorrected formation energy is 0.21 eV per atom. The value obtained for the density of states at the Fermi level is 3.67 states/eV per cell. The calculated total energy comes out at -5.263 eV per atom. The calculated density comes out at 6202 kg/m³.


Ru2Br: relaxed, PBE.

Lattice parameters (Å, degrees): 4.3240 4.3240 5.7657 90.00 90.00 120.00
With the nearest neighbours (Å) after each atom.
Sites, in units of the cell vectors:
Ru: 0.6667 0.3333 0.7500  3 Br 2.50
Ru: 0.0000 0.0000 0.5000  8 Ru 2.88, 6 Br 2.88
Ru: 0.0000 0.0000 0.0000  8 Ru 2.88, 6 Br 2.88
Ru: 0.3333 0.6667 0.2500  3 Br 2.50
Br: 0.3333 0.6667 0.7500  3 Ru 2.50
Br: 0.6667 0.3333 0.2500  3 Ru 2.50

The value obtained for the relative energy among the computed polymorphs is 0.820 eV per atom. The uncorrected formation energy is 1.17 eV per atom. The value obtained for the density of states at the Fermi level is 6.49 states/eV per cell. The calculated total energy comes out at -5.569 eV per atom. The calculated density comes out at 10033 kg/m³.


Ru2Br: relaxed, PBE.

Lattice parameters (Å, degrees): 2.9589 2.9589 6.3395 90.00 90.00 120.00
With the nearest neighbours (Å) after each atom.
Sites, in units of the cell vectors:
Br: 0.0000 0.0000 0.0000  6 Ru 2.78, 6 Br 2.96
Ru: 0.3333 0.6667 0.3461  3 Ru 2.59, 3 Br 2.78
Ru: 0.6667 0.3333 0.6539  3 Ru 2.59, 3 Br 2.78

The value obtained for the relative energy among the computed polymorphs is 0.313 eV per atom. The uncorrected formation energy is 0.66 eV per atom. The value obtained for the density of states at the Fermi level is 2.88 states/eV per cell. The calculated total energy comes out at -6.077 eV per atom. The calculated density comes out at 9744 kg/m³.


RuBr: relaxed, PBE.

Lattice parameters (Å, degrees): 6.4425 6.4425 8.5387 68.40 68.40 31.73
With the nearest neighbours (Å) after each atom.
Sites, in units of the cell vectors:
Ru: 0.0306 0.0306 0.4810  1 Ru 2.26
Ru: 0.6619 0.6619 0.5401  4 Ru 2.49-2.58, 3 Br 2.54-2.74
Ru: 0.0444 0.0444 0.7374  3 Ru 2.26-2.49
Br: 0.6424 0.6424 0.2542  3 Ru 2.54-2.59
Br: 0.4518 0.4518 0.9650  2 Ru 2.55
Br: 0.3355 0.3355 0.5223  4 Ru 2.74-2.90

The value obtained for the relative energy among the computed polymorphs is 0.198 eV per atom. The uncorrected formation energy is 0.41 eV per atom. The value obtained for the density of states at the Fermi level is 4.09 states/eV per cell. The calculated total energy comes out at -5.066 eV per atom. The calculated density comes out at 5235 kg/m³.


RuBr: relaxed, PBE.

Lattice parameters (Å, degrees): 9.9261 9.9261 3.7366 90.00 90.00 120.00
With the nearest neighbours (Å) after each atom.
Sites, in units of the cell vectors:
Ru: 0.5667 0.9935 0.7500  2 Ru 2.33, 1 Br 2.60
Ru: 0.4333 0.0065 0.2500  2 Ru 2.33, 1 Br 2.60
Ru: 0.5732 0.5667 0.2500  2 Ru 2.33, 1 Br 2.60
Ru: 0.0065 0.5732 0.7500  2 Ru 2.33, 1 Br 2.60
Ru: 0.4268 0.4333 0.7500  2 Ru 2.33, 1 Br 2.60
Ru: 0.9935 0.4268 0.2500  2 Ru 2.33, 1 Br 2.60
Br: 0.6460 0.7807 0.7500  3 Ru 2.60-2.64
Br: 0.2193 0.8653 0.7500  3 Ru 2.60-2.64
Br: 0.3540 0.2193 0.2500  3 Ru 2.60-2.64
Br: 0.7807 0.1347 0.2500  3 Ru 2.60-2.64
Br: 0.1347 0.3540 0.7500  3 Ru 2.60-2.64
Br: 0.8653 0.6460 0.2500  3 Ru 2.60-2.64

The value obtained for the relative energy among the computed polymorphs is 0.348 eV per atom. The uncorrected formation energy is 0.56 eV per atom. The value obtained for the density of states at the Fermi level is 11.59 states/eV per cell. The calculated total energy comes out at -4.916 eV per atom. The calculated density comes out at 5655 kg/m³.


RuBr: relaxed, PBE.

Lattice parameters (Å, degrees): 5.2012 5.2012 4.5594 82.60 82.60 35.21
With the nearest neighbours (Å) after each atom.
Sites, in units of the cell vectors:
Ru: 0.4814 0.4814 0.4928  3 Br 2.58-2.61, 2 Ru 2.77
Ru: 0.7686 0.7686 0.7572  3 Br 2.58-2.61, 2 Ru 2.77
Br: 0.2456 0.2456 0.3105  3 Ru 2.58-2.61
Br: 0.0044 0.0044 0.9395  3 Ru 2.58-2.61

The value obtained for the relative energy among the computed polymorphs is 0.720 eV per atom. The uncorrected formation energy is 0.93 eV per atom. The value obtained for the density of states at the Fermi level is 4.96 states/eV per cell. The calculated total energy comes out at -4.544 eV per atom. The calculated density comes out at 8529 kg/m³.


Ru2Br: relaxed, PBE.

Lattice parameters (Å, degrees): 6.0142 6.0142 6.0142 151.55 151.55 40.67
With the nearest neighbours (Å) after each atom.
Sites, in units of the cell vectors:
Ru: 0.3178 0.3178 0.0000  4 Ru 2.59
Ru: 0.6822 0.6822 0.0000  4 Ru 2.59
Br: 0.0000 0.0000 0.0000  8 Ru 2.93, 4 Br 2.96

The value obtained for the relative energy among the computed polymorphs is 0.342 eV per atom. The uncorrected formation energy is 0.69 eV per atom. The value obtained for the density of states at the Fermi level is 4.07 states/eV per cell. The calculated total energy comes out at -6.048 eV per atom. The calculated density comes out at 9504 kg/m³.


RuBr3: relaxed, PBE.

Lattice parameters (Å, degrees): 8.9420 8.9420 8.9420 24.03 24.03 24.03
With the nearest neighbours (Å) after each atom.
Sites, in units of the cell vectors:
Br: 0.7184 0.7184 0.7184  3 Ru 2.54
Br: 0.2816 0.2816 0.2816  3 Ru 2.54
Br: 0.5000 0.5000 0.5000  12 Br 3.68-3.72
Ru: 0.0000 0.0000 0.0000  6 Br 2.54

The uncorrected formation energy is 0.09 eV per atom. The value obtained for the density of states at the Fermi level is 4.90 states/eV per cell. The calculated total energy comes out at -3.489 eV per atom. The calculated density comes out at 5432 kg/m³.


Ru2Br: relaxed, PBE.

Lattice parameters (Å, degrees): 4.5714 4.5714 12.2188 66.91 66.91 36.38
With the nearest neighbours (Å) after each atom.
Sites, in units of the cell vectors:
Br: 0.9137 0.9137 0.0009  1 Ru 2.43
Br: 0.8249 0.8249 0.7033  2 Ru 2.54
Ru: 0.9972 0.9972 0.3240  8 Ru 2.51-2.75
Ru: 0.7720 0.7720 0.2191  1 Br 2.43, 4 Ru 2.56-2.62
Ru: 0.2207 0.2207 0.4047  8 Ru 2.51-2.73
Ru: 0.4382 0.4382 0.5147  2 Br 2.54, 5 Ru 2.60-2.73

The value obtained for the relative energy among the computed polymorphs is 0.040 eV per atom. The uncorrected formation energy is 0.39 eV per atom. The value obtained for the density of states at the Fermi level is 5.65 states/eV per cell. The calculated total energy comes out at -6.350 eV per atom. The calculated density comes out at 6790 kg/m³.


Ru3Br: relaxed, PBE.

Lattice parameters (Å, degrees): 3.9216 3.9216 3.9216 90.00 90.00 90.00
With the nearest neighbours (Å) after each atom.
Sites, in units of the cell vectors:
Ru: 0.5000 0.0000 0.5000  4 Br 2.77, 8 Ru 2.77
Ru: 0.0000 0.5000 0.5000  8 Ru 2.77, 4 Br 2.77
Ru: 0.5000 0.5000 0.0000  8 Ru 2.77, 4 Br 2.77
Br: 0.0000 0.0000 0.0000  12 Ru 2.77

The value obtained for the relative energy among the computed polymorphs is 0.580 eV per atom. The uncorrected formation energy is 1.16 eV per atom. The value obtained for the density of states at the Fermi level is 5.18 states/eV per cell. The calculated total energy comes out at -6.218 eV per atom. The calculated density comes out at 10548 kg/m³.